No. 1
## LiAl2Sb (PBE)

Data for LiAl2Sb after structural relaxation.

Properties
Symmetry = No. 216
VASP energy = -3.323 eV per atom
Crystal system = cubic
Uncorrected formation energy = 0.058 eV/atom

Unit cell a=4.856 b=4.856 c=4.856 alpha=60.00 beta=60.00 gamma=60.00
Element x y z (fractional)
Al: 0.000 0.000 0.000
Al: 0.250 0.250 0.250
Li: 0.500 0.500 0.500
Sb: 0.750 0.750 0.750

No. 2
## LiAl2Sb (PBE)

Data for LiAl2Sb after structural relaxation.

Properties
Symmetry = No. 122
VASP energy = -3.381 eV per atom
Crystal system = tetragonal
Uncorrected formation energy = -0.001 eV/atom

Unit cell a=8.617 b=8.617 c=6.611 alpha=49.33 beta=49.33 gamma=90.00
Element x y z (fractional)
Sb: 0.000 0.000 0.000
Sb: 0.750 0.250 0.500
Al: 0.681 0.125 0.250
Al: 0.069 0.625 0.250
Al: 0.375 0.319 0.750
Al: 0.875 0.931 0.750
Li: 0.500 0.500 0.000
Li: 0.250 0.750 0.500

No. 3
## LiAlSb2 (PBE)

Data for LiAlSb2 after structural relaxation.

Properties
Symmetry = No. 166
VASP energy = -3.604 eV per atom
Crystal system = trigonal
Uncorrected formation energy = -0.129 eV/atom

Unit cell a=8.199 b=8.199 c=8.199 alpha=26.07 beta=26.07 gamma=26.07
Element x y z (fractional)
Al: 0.250 0.250 0.250
Li: 0.750 0.750 0.750
Sb: 0.994 0.994 0.994
Sb: 0.506 0.506 0.506

No. 4
## Li2AlSb (PBE)

Data for Li2AlSb after structural relaxation.

Properties
Symmetry = No. 12
VASP energy = -3.123 eV per atom
Crystal system = monoclinic
Uncorrected formation energy = -0.199 eV/atom

Unit cell a=4.875 b=4.875 c=5.499 alpha=80.86 beta=80.86 gamma=37.91
Element x y z (fractional)
Al: 0.250 0.250 0.250
Li: 0.003 0.003 0.001
Li: 0.497 0.497 0.499
Sb: 0.750 0.750 0.750

No. 5
## Li2AlSb (PBE)

Data for Li2AlSb after structural relaxation.

Properties
Symmetry = No. 139
VASP energy = -3.207 eV per atom
Crystal system = tetragonal
Uncorrected formation energy = -0.284 eV/atom

Unit cell a=5.255 b=5.255 c=5.255 alpha=133.40 beta=133.38 gamma=68.04
Element x y z (fractional)
Sb: 0.250 0.750 0.500
Al: 0.750 0.250 0.500
Li: 0.000 0.000 0.000
Li: 0.500 0.500 0.000

No. 6
## LiAlSb2 (PBE)

Data for LiAlSb2 after structural relaxation.

Properties
Symmetry = No. 160
VASP energy = -3.377 eV per atom
Crystal system = trigonal
Uncorrected formation energy = 0.098 eV/atom

Unit cell a=10.306 b=10.306 c=10.306 alpha=18.38 beta=18.38 gamma=18.38
Element x y z (fractional)
Al: 0.495 0.495 0.495
Li: 0.755 0.755 0.755
Sb: 0.013 0.013 0.013
Sb: 0.237 0.237 0.237

No. 7
## LiAl2Sb (PBE)

Data for LiAl2Sb after structural relaxation.

Properties
Symmetry = No. 166
VASP energy = -3.227 eV per atom
Crystal system = trigonal
Uncorrected formation energy = 0.154 eV/atom

Unit cell a=9.569 b=9.569 c=9.569 alpha=19.13 beta=19.13 gamma=19.13
Element x y z (fractional)
Al: 0.994 0.994 0.994
Al: 0.506 0.506 0.506
Li: 0.250 0.250 0.250
Sb: 0.750 0.750 0.750

No. 8
## LiAl2Sb2 (PBE)

Data for LiAl2Sb2 after structural relaxation.

Properties
Symmetry = No. 139
VASP energy = -3.560 eV per atom
Crystal system = tetragonal
Uncorrected formation energy = -0.031 eV/atom

Unit cell a=4.243 b=4.243 c=7.806 alpha=74.23 beta=74.23 gamma=90.00
Element x y z (fractional)
Sb: 0.378 0.378 0.244
Sb: 0.622 0.622 0.756
Al: 0.750 0.250 0.500
Al: 0.250 0.750 0.500
Li: 0.000 0.000 0.000

The records above give, respectively, spin magnetization values of 0.0; 0.0; 0.0; 0.0; 0.0; 0.0; 0.0; 0.0 μB per formula unit.
The records above give, respectively, density of states at the Fermi level values of 0.80; 0.00; 0.44; 0.19; 0.36; 1.03; 0.48; 0.51 states/eV per atom.